Arrangement 1

{
  "formula": "Ti4V2In",
  "functional": "PBE",
  "state": "optimized geometry",
  "cell": [[4.825, 0.000, 0.000], [0.000, 2.965, 0.000], [0.000, -1.483, 8.413]],
  "species": ["Ti", "Ti", "Ti", "Ti", "V", "V", "In"],
  "frac_coords": [[0.500, 0.815, 0.629], [0.000, 0.677, 0.355], [0.500, 0.185, 0.371], [0.000, 0.323, 0.645], [0.500, 0.562, 0.123], [0.500, 0.438, 0.877], [0.000, 0.000, 0.000]],
  "spacegroup": "Cmmm (65)",
  "crystal_system": "orthorhombic"
}

=====

Arrangement 2

{
  "formula": "Ti4V2In",
  "functional": "PBE",
  "state": "optimized geometry",
  "cell": [[5.032, 0.000, 0.000], [0.000, 5.032, 0.000], [2.516, 2.516, 5.896]],
  "species": ["V", "V", "Ti", "Ti", "Ti", "Ti", "In"],
  "frac_coords": [[0.594, 0.594, 0.811], [0.406, 0.406, 0.189], [0.777, 0.777, 0.446], [0.223, 0.223, 0.554], [0.000, 0.500, 0.000], [0.500, 0.000, 0.000], [0.000, 0.000, 0.000]],
  "spacegroup": "I4/mmm (139)",
  "crystal_system": "tetragonal"
}

=====

Tell me which of them is the most stable. Sure, it is arrangement 1.

=====

Arrangement 1

{
  "formula": "Ti3VIn",
  "functional": "PBE",
  "state": "optimized geometry",
  "cell": [[4.600, 0.000, 0.000], [0.000, 4.600, 0.000], [0.000, 0.000, 4.600]],
  "species": ["Ti", "Ti", "Ti", "In", "V"],
  "frac_coords": [[0.000, 0.500, 0.000], [0.000, 0.000, 0.500], [0.500, 0.000, 0.000], [0.500, 0.500, 0.500], [0.000, 0.000, 0.000]],
  "spacegroup": "Pm-3m (221)",
  "crystal_system": "cubic"
}

=====

Arrangement 2

{
  "formula": "Ti3VIn",
  "functional": "PBE",
  "state": "optimized geometry",
  "cell": [[2.738, 0.000, -0.377], [0.000, 4.718, 0.000], [0.432, 0.000, 13.267]],
  "species": ["Ti", "Ti", "Ti", "Ti", "Ti", "Ti", "V", "V", "In", "In"],
  "frac_coords": [[0.633, 0.750, 0.265], [0.367, 0.250, 0.735], [0.526, 0.750, 0.052], [0.474, 0.250, 0.948], [0.686, 0.250, 0.371], [0.314, 0.750, 0.629], [0.221, 0.750, 0.442], [0.779, 0.250, 0.558], [0.922, 0.750, 0.845], [0.078, 0.250, 0.155]],
  "spacegroup": "Cmcm (63)",
  "crystal_system": "orthorhombic"
}

=====

Tell me which of them is the most stable. Sure, it is arrangement 2.